Record 1
! PBE-GGA Tb4Er3Pu, optimized geometry; values from VASP
! Distance to the lowest polymorph of the same formula, meV per atom: 0
&SYSTEM
  ibrav = 0, nat = 16, ntyp = 3
/
ATOMIC_SPECIES
Tb 158.93 Tb.upf
Pu 244.00 Pu.upf
Er 167.26 Er.upf
ATOMIC_POSITIONS crystal
Tb 0.064 0.129 0.248
Tb 0.564 0.126 0.500
Pu 0.064 0.375 0.000
Er 0.064 0.380 0.500
Tb 0.064 0.874 0.000
Tb 0.564 0.129 0.000
Er 0.564 0.620 0.000
Tb 0.064 0.129 0.752
Tb 0.564 0.871 0.748
Tb 0.064 0.871 0.500
Er 0.564 0.379 0.750
Er 0.064 0.621 0.750
Pu 0.564 0.625 0.500
Tb 0.564 0.871 0.252
Er 0.564 0.379 0.250
Er 0.064 0.621 0.250
CELL_PARAMETERS angstrom
-4.572 0.253 -1.898
2.731 -6.066 -7.388
-2.711 -7.894 5.479


Record 2
Tb5Er4Pu | PBE-GGA | optimized geometry Values from VASP.

```
&SYSTEM
  ibrav = 0, nat = 10, ntyp = 3
/
ATOMIC_SPECIES
Tb 158.93 Tb.upf
Er 167.26 Er.upf
Pu 244.00 Pu.upf
ATOMIC_POSITIONS crystal
Tb 0.829 0.277 0.658
Er 0.324 0.575 0.649
Tb 0.837 0.882 0.673
Tb 0.500 0.500 0.000
Tb 0.171 0.723 0.342
Er 0.676 0.425 0.351
Er 0.029 0.277 0.058
Er 0.971 0.723 0.942
Pu 0.500 0.000 0.000
Tb 0.163 0.118 0.327
CELL_PARAMETERS angstrom
4.718 0.000 -1.308
-1.204 7.337 -4.342
0.068 0.178 9.407
```


Record 3
Tb12Er2Pu | PBE-GGA | optimized geometry Values from VASP.

```
&SYSTEM
  ibrav = 0, nat = 30, ntyp = 3
/
ATOMIC_SPECIES
Tb 158.93 Tb.upf
Er 167.26 Er.upf
Pu 244.00 Pu.upf
ATOMIC_POSITIONS crystal
Tb 0.204 0.296 0.180
Tb 0.857 0.143 0.110
Tb 0.635 0.865 0.487
Tb 0.296 0.204 0.820
Tb 0.704 0.796 0.180
Tb 0.607 0.393 0.139
Er 0.415 0.085 0.247
Er 0.915 0.585 0.247
Tb 0.079 0.921 0.377
Tb 0.143 0.857 0.890
Pu 0.000 0.500 0.000
Tb 0.330 0.670 0.362
Tb 0.421 0.579 0.623
Tb 0.365 0.135 0.513
Tb 0.135 0.365 0.487
Pu 0.500 0.000 0.000
Tb 0.579 0.421 0.377
Er 0.085 0.415 0.753
Tb 0.921 0.079 0.623
Tb 0.830 0.170 0.362
Tb 0.170 0.830 0.638
Tb 0.393 0.607 0.861
Er 0.585 0.915 0.753
Tb 0.643 0.357 0.890
Tb 0.865 0.635 0.513
Tb 0.670 0.330 0.638
Tb 0.893 0.107 0.861
Tb 0.796 0.704 0.820
Tb 0.107 0.893 0.139
Tb 0.357 0.643 0.110
CELL_PARAMETERS angstrom
8.846 -0.938 0.863
-0.938 8.846 -0.863
4.602 -4.602 13.271
```


Record 4
Tb2Er3Pu | PBE-GGA | optimized geometry Values from VASP.

```
&SYSTEM
  ibrav = 0, nat = 12, ntyp = 3
/
ATOMIC_SPECIES
Er 167.26 Er.upf
Tb 158.93 Tb.upf
Pu 244.00 Pu.upf
ATOMIC_POSITIONS crystal
Er 0.688 0.936 0.521
Tb 0.854 0.354 0.382
Er 0.854 0.436 0.021
Tb 0.146 0.646 0.618
Er 0.312 0.064 0.479
Pu 0.000 0.000 0.000
Pu 0.000 0.500 0.500
Tb 0.590 0.146 0.118
Er 0.146 0.564 0.979
Er 0.615 0.250 0.750
Tb 0.410 0.854 0.882
Er 0.385 0.750 0.250
CELL_PARAMETERS angstrom
0.828 8.074 4.759
5.179 0.845 6.967
10.683 1.307 5.226
```


Record 5
Tb5Er8Pu | PBE-GGA | optimized geometry Values from VASP.

```
&SYSTEM
  ibrav = 0, nat = 14, ntyp = 3
/
ATOMIC_SPECIES
Pu 244.00 Pu.upf
Tb 158.93 Tb.upf
Er 167.26 Er.upf
ATOMIC_POSITIONS crystal
Pu 0.250 0.500 0.750
Tb 0.290 0.086 0.049
Er 0.361 0.393 0.454
Er 0.546 0.907 0.939
Er 0.103 0.695 0.474
Tb 0.500 0.000 0.500
Tb 0.951 0.242 0.038
Er 0.061 0.607 0.968
Tb 0.796 0.758 0.710
Er 0.032 0.093 0.639
Er 0.780 0.305 0.408
Er 0.526 0.629 0.220
Er 0.592 0.371 0.897
Tb 0.962 0.914 0.204
CELL_PARAMETERS angstrom
-5.869 -2.910 5.150
7.068 -4.059 1.729
1.516 8.143 0.911
```


Record 6
! PBE-GGA TbEr2Pu, optimized geometry; values from VASP
! Distance to the lowest polymorph of the same formula, meV per atom: 4
&SYSTEM
  ibrav = 0, nat = 4, ntyp = 3
/
ATOMIC_SPECIES
Tb 158.93 Tb.upf
Er 167.26 Er.upf
Pu 244.00 Pu.upf
ATOMIC_POSITIONS crystal
Tb 0.500 0.500 0.500
Er 0.000 0.000 0.244
Er 0.000 0.000 0.756
Pu 0.500 0.500 0.000
CELL_PARAMETERS angstrom
3.477 0.000 0.000
0.000 3.477 0.000
0.000 0.000 9.943


Record 7
! PBE-GGA Tb2ErPu, optimized geometry; values from VASP
! Distance to the lowest polymorph of the same formula, meV per atom: 161
&SYSTEM
  ibrav = 0, nat = 4, ntyp = 3
/
ATOMIC_SPECIES
Tb 158.93 Tb.upf
Er 167.26 Er.upf
Pu 244.00 Pu.upf
ATOMIC_POSITIONS crystal
Tb 0.089 0.089 0.733
Er 0.500 0.500 0.500
Pu 0.000 0.000 0.000
Tb 0.911 0.911 0.267
CELL_PARAMETERS angstrom
3.439 0.000 0.000
1.720 2.979 0.000
1.720 0.993 12.190


Record 8
! PBE-GGA TbEr2Pu, optimized geometry; values from VASP
! Distance to the lowest polymorph of the same formula, meV per atom: 97
&SYSTEM
  ibrav = 0, nat = 4, ntyp = 3
/
ATOMIC_SPECIES
Tb 158.93 Tb.upf
Er 167.26 Er.upf
Pu 244.00 Pu.upf
ATOMIC_POSITIONS crystal
Tb 0.500 0.500 0.500
Er 0.750 0.750 0.750
Er 0.250 0.250 0.250
Pu 0.000 0.000 0.000
CELL_PARAMETERS angstrom
5.554 0.000 0.000
2.777 4.810 0.000
2.777 1.603 4.535


Record 9
Tb3Er3Pu | PBE-GGA | optimized geometry Values from VASP.

```
&SYSTEM
  ibrav = 0, nat = 14, ntyp = 3
/
ATOMIC_SPECIES
Er 167.26 Er.upf
Pu 244.00 Pu.upf
Tb 158.93 Tb.upf
ATOMIC_POSITIONS crystal
Er 0.269 0.602 0.193
Er 0.064 0.731 0.807
Pu 0.333 0.333 0.000
Tb 0.132 0.464 0.604
Tb 0.200 0.868 0.396
Er 0.936 0.269 0.193
Tb 0.868 0.536 0.396
Er 0.602 0.936 0.193
Er 0.398 0.064 0.807
Tb 0.800 0.132 0.604
Tb 0.464 0.800 0.604
Pu 0.667 0.667 0.000
Er 0.731 0.398 0.807
Tb 0.536 0.200 0.396
CELL_PARAMETERS angstrom
5.824 0.000 1.872
2.611 5.206 1.872
-1.387 -0.856 14.313
```


Record 10
! PBE-GGA TbEr6Pu, optimized geometry; values from VASP
! Distance to the lowest polymorph of the same formula, meV per atom: 0
&SYSTEM
  ibrav = 0, nat = 8, ntyp = 3
/
ATOMIC_SPECIES
Er 167.26 Er.upf
Tb 158.93 Tb.upf
Pu 244.00 Pu.upf
ATOMIC_POSITIONS crystal
Er 0.500 0.668 0.835
Er 0.500 0.166 0.333
Er 0.000 0.338 0.168
Er 0.500 0.167 0.835
Er 0.000 0.334 0.667
Er 0.000 0.831 0.168
Tb 0.000 0.831 0.661
Pu 0.500 0.666 0.333
CELL_PARAMETERS angstrom
-0.909 3.534 4.257
-6.992 -0.593 -1.001
3.339 -4.441 4.400


Number 1: DFT formation energy 0.06 eV per atom. Number 2: DFT formation energy 0.26 eV per atom. Number 3: DFT formation energy 0.14 eV per atom. Number 4: DFT formation energy 0.11 eV per atom. Number 5: DFT formation energy 0.30 eV per atom. Number 6: DFT formation energy 0.09 eV per atom. Number 7: DFT formation energy 0.26 eV per atom. Number 8: DFT formation energy 0.19 eV per atom. Number 9: DFT formation energy 0.19 eV per atom. Number 10: DFT formation energy 0.06 eV per atom.